No. 1
Below is a relaxed TaBe2Tl2O6 crystal, with properties calculated at the GGA-PBE level.

Structure (CIF):
```
data_TaBe2Tl2O6
_chemical_formula_sum 'Ta1 Be2 Tl2 O6'
_cell_length_a 5.472
_cell_length_b 5.472
_cell_length_c 6.490
_cell_angle_alpha 65.06
_cell_angle_beta 65.06
_cell_angle_gamma 60.00
_space_group_name_H-M_alt 'P 1'
_space_group_IT_number 1
loop_
_space_group_symop_operation_xyz
'x,y,z'
loop_
_atom_site_label
_atom_site_type_symbol
_atom_site_fract_x
_atom_site_fract_y
_atom_site_fract_z
Ta1 Ta 0.000 0.000 0.000
Be1 Be 0.404 0.404 0.789
Be2 Be 0.596 0.596 0.211
Tl1 Tl 0.786 0.786 0.643
Tl2 Tl 0.214 0.214 0.357
O1 O 0.760 0.760 0.210
O2 O 0.271 0.760 0.210
O3 O 0.760 0.271 0.210
O4 O 0.240 0.729 0.790
O5 O 0.729 0.240 0.790
O6 O 0.240 0.240 0.790
```

SG: R-3m (166)
Calculated density, g/cm³: 7.9
Uncorrected formation energy, eV/atom: -1.977
Total DFT energy (no corrections), eV per cell: -75.535


No. 2
Below is a relaxed UTaBeO6 crystal, with properties calculated at the GGA-PBE level.

Structure (CIF):
```
data_UTaBeO6
_chemical_formula_sum 'U2 Ta2 Be2 O12'
_cell_length_a 4.975
_cell_length_b 4.975
_cell_length_c 9.595
_cell_angle_alpha 90.00
_cell_angle_beta 90.00
_cell_angle_gamma 120.00
_space_group_name_H-M_alt 'P 1'
_space_group_IT_number 1
loop_
_space_group_symop_operation_xyz
'x,y,z'
loop_
_atom_site_label
_atom_site_type_symbol
_atom_site_fract_x
_atom_site_fract_y
_atom_site_fract_z
U1 U 0.000 0.000 0.000
U2 U 0.000 0.000 0.500
Ta1 Ta 0.333 0.667 0.250
Ta2 Ta 0.667 0.333 0.750
Be1 Be 0.667 0.333 0.250
Be2 Be 0.333 0.667 0.750
O1 O 0.658 0.643 0.137
O2 O 0.985 0.342 0.137
O3 O 0.342 0.985 0.637
O4 O 0.015 0.658 0.863
O5 O 0.357 0.342 0.363
O6 O 0.985 0.643 0.363
O7 O 0.643 0.985 0.863
O8 O 0.658 0.015 0.363
O9 O 0.015 0.357 0.637
O10 O 0.357 0.015 0.137
O11 O 0.643 0.658 0.637
O12 O 0.342 0.357 0.863
```

SG: P-31c (163)
Calculated density, g/cm³: 8.5
Uncorrected formation energy, eV/atom: -2.793
Total DFT energy (no corrections), eV per cell: -163.514


No. 3
Below is a relaxed YTaBeO2 crystal, with properties calculated at the GGA-PBE level.

Structure (CIF):
```
data_YTaBeO2
_chemical_formula_sum 'Y1 Ta1 Be1 O2'
_cell_length_a 4.132
_cell_length_b 7.375
_cell_length_c 4.132
_cell_angle_alpha 90.00
_cell_angle_beta 90.00
_cell_angle_gamma 90.00
_space_group_name_H-M_alt 'P 1'
_space_group_IT_number 1
loop_
_space_group_symop_operation_xyz
'x,y,z'
loop_
_atom_site_label
_atom_site_type_symbol
_atom_site_fract_x
_atom_site_fract_y
_atom_site_fract_z
Y1 Y 0.000 0.000 0.000
Be1 Be 0.500 0.500 0.500
O1 O 0.000 0.000 0.500
O2 O 0.500 0.000 0.000
Ta1 Ta 0.000 0.500 0.000
```

SG: P4/mmm (123)
Calculated density, g/cm³: 4.1
Uncorrected formation energy, eV/atom: 0.262
Total DFT energy (no corrections), eV per cell: -30.650


No. 4
Below is a relaxed Tb3BeO crystal, with properties calculated at the GGA-PBE level.

Structure (CIF):
```
data_Tb3BeO
_chemical_formula_sum 'Tb3 Be1 O1'
_cell_length_a 4.704
_cell_length_b 4.704
_cell_length_c 4.704
_cell_angle_alpha 90.00
_cell_angle_beta 90.00
_cell_angle_gamma 90.00
_space_group_name_H-M_alt 'P 1'
_space_group_IT_number 1
loop_
_space_group_symop_operation_xyz
'x,y,z'
loop_
_atom_site_label
_atom_site_type_symbol
_atom_site_fract_x
_atom_site_fract_y
_atom_site_fract_z
Be1 Be 0.500 0.500 0.500
Tb1 Tb 0.000 0.500 0.000
Tb2 Tb 0.000 0.000 0.500
Tb3 Tb 0.500 0.000 0.000
O1 O 0.000 0.000 0.000
```

SG: Pm-3m (221)
Calculated density, g/cm³: 8.0
Uncorrected formation energy, eV/atom: -1.040
Total DFT energy (no corrections), eV per cell: -27.776


No. 5
Below is a relaxed Tb12Be3O5 crystal, with properties calculated at the GGA-PBE level.

Structure (CIF):
```
data_Tb12Be3O5
_chemical_formula_sum 'Tb48 Be12 O20'
_cell_length_a 13.119
_cell_length_b 13.119
_cell_length_c 13.119
_cell_angle_alpha 109.47
_cell_angle_beta 109.47
_cell_angle_gamma 109.47
_space_group_name_H-M_alt 'P 1'
_space_group_IT_number 1
loop_
_space_group_symop_operation_xyz
'x,y,z'
loop_
_atom_site_label
_atom_site_type_symbol
_atom_site_fract_x
_atom_site_fract_y
_atom_site_fract_z
Be1 Be 0.750 0.375 0.125
Be2 Be 0.875 0.750 0.125
Be3 Be 0.375 0.750 0.625
Be4 Be 0.250 0.125 0.375
Be5 Be 0.875 0.125 0.250
Be6 Be 0.375 0.625 0.250
Be7 Be 0.625 0.375 0.750
Be8 Be 0.125 0.875 0.750
Be9 Be 0.750 0.875 0.625
Be10 Be 0.625 0.250 0.375
Be11 Be 0.125 0.250 0.875
Be12 Be 0.250 0.625 0.875
Tb1 Tb 0.706 0.116 0.021
Tb2 Tb 0.315 0.521 0.405
Tb3 Tb 0.979 0.384 0.294
Tb4 Tb 0.521 0.206 0.116
Tb5 Tb 0.590 0.706 0.685
Tb6 Tb 0.979 0.595 0.185
Tb7 Tb 0.315 0.794 0.410
Tb8 Tb 0.095 0.910 0.116
Tb9 Tb 0.595 0.979 0.685
Tb10 Tb 0.706 0.590 0.185
Tb11 Tb 0.794 0.479 0.384
Tb12 Tb 0.815 0.905 0.021
Tb13 Tb 0.116 0.706 0.521
Tb14 Tb 0.384 0.405 0.090
Tb15 Tb 0.090 0.905 0.384
Tb16 Tb 0.410 0.116 0.595
Tb17 Tb 0.090 0.185 0.206
Tb18 Tb 0.479 0.685 0.095
Tb19 Tb 0.815 0.910 0.294
Tb20 Tb 0.116 0.410 0.095
Tb21 Tb 0.384 0.979 0.794
Tb22 Tb 0.595 0.616 0.410
Tb23 Tb 0.905 0.815 0.521
Tb24 Tb 0.794 0.315 0.910
Tb25 Tb 0.405 0.384 0.590
Tb26 Tb 0.095 0.185 0.479
Tb27 Tb 0.206 0.685 0.090
Tb28 Tb 0.185 0.090 0.706
Tb29 Tb 0.616 0.021 0.206
Tb30 Tb 0.884 0.590 0.905
Tb31 Tb 0.521 0.315 0.905
Tb32 Tb 0.590 0.884 0.405
Tb33 Tb 0.910 0.815 0.794
Tb34 Tb 0.910 0.095 0.616
Tb35 Tb 0.884 0.294 0.479
Tb36 Tb 0.185 0.095 0.979
Tb37 Tb 0.616 0.595 0.910
Tb38 Tb 0.405 0.021 0.315
Tb39 Tb 0.294 0.410 0.815
Tb40 Tb 0.206 0.521 0.616
Tb41 Tb 0.905 0.090 0.884
Tb42 Tb 0.685 0.206 0.590
Tb43 Tb 0.479 0.794 0.884
Tb44 Tb 0.021 0.405 0.815
Tb45 Tb 0.410 0.294 0.315
Tb46 Tb 0.021 0.616 0.706
Tb47 Tb 0.685 0.479 0.595
Tb48 Tb 0.294 0.884 0.979
O1 O 0.125 0.375 0.250
O2 O 0.000 0.500 0.000
O3 O 0.000 0.000 0.000
O4 O 0.375 0.250 0.125
O5 O 0.500 0.000 0.500
O6 O 0.500 0.500 0.000
O7 O 0.125 0.750 0.375
O8 O 0.750 0.125 0.875
O9 O 0.750 0.625 0.375
O10 O 0.375 0.125 0.750
O11 O 0.625 0.875 0.250
O12 O 0.500 0.500 0.500
O13 O 0.500 0.000 0.000
O14 O 0.000 0.000 0.500
O15 O 0.250 0.375 0.625
O16 O 0.250 0.875 0.125
O17 O 0.000 0.500 0.500
O18 O 0.875 0.250 0.625
O19 O 0.625 0.750 0.875
O20 O 0.875 0.625 0.750
```

SG: Ia-3d (230)
Calculated density, g/cm³: 7.7
Uncorrected formation energy, eV/atom: -1.355
Total DFT energy (no corrections), eV per cell: -474.514


No. 6
Below is a relaxed Tb2Be2O5 crystal, with properties calculated at the GGA-PBE level.

Structure (CIF):
```
data_Tb2Be2O5
_chemical_formula_sum 'Tb2 Be2 O5'
_cell_length_a 3.618
_cell_length_b 3.618
_cell_length_c 6.804
_cell_angle_alpha 90.00
_cell_angle_beta 90.00
_cell_angle_gamma 90.00
_space_group_name_H-M_alt 'P 1'
_space_group_IT_number 1
loop_
_space_group_symop_operation_xyz
'x,y,z'
loop_
_atom_site_label
_atom_site_type_symbol
_atom_site_fract_x
_atom_site_fract_y
_atom_site_fract_z
Tb1 Tb 0.000 0.000 0.000
Tb2 Tb 0.000 0.000 0.500
Be1 Be 0.500 0.500 0.268
Be2 Be 0.500 0.500 0.732
O1 O 0.500 0.000 0.222
O2 O 0.500 0.000 0.778
O3 O 0.000 0.500 0.222
O4 O 0.000 0.500 0.778
O5 O 0.500 0.500 0.500
```

SG: P4/mmm (123)
Calculated density, g/cm³: 7.8
Uncorrected formation energy, eV/atom: -2.905
Total DFT energy (no corrections), eV per cell: -67.646


No. 7
Below is a relaxed Tb2BeO4 crystal, with properties calculated at the GGA-PBE level.

Structure (CIF):
```
data_Tb2BeO4
_chemical_formula_sum 'Tb4 Be2 O8'
_cell_length_a 5.105
_cell_length_b 5.254
_cell_length_c 6.441
_cell_angle_alpha 90.00
_cell_angle_beta 108.75
_cell_angle_gamma 90.00
_space_group_name_H-M_alt 'P 1'
_space_group_IT_number 1
loop_
_space_group_symop_operation_xyz
'x,y,z'
loop_
_atom_site_label
_atom_site_type_symbol
_atom_site_fract_x
_atom_site_fract_y
_atom_site_fract_z
Tb1 Tb 0.704 0.750 0.042
Tb2 Tb 0.296 0.250 0.958
Tb3 Tb 0.223 0.250 0.430
Tb4 Tb 0.777 0.750 0.570
Be1 Be 0.261 0.750 0.202
Be2 Be 0.739 0.250 0.798
O1 O 0.474 0.512 0.258
O2 O 0.090 0.750 0.932
O3 O 0.910 0.250 0.068
O4 O 0.474 0.988 0.258
O5 O 0.942 0.250 0.642
O6 O 0.526 0.012 0.742
O7 O 0.526 0.488 0.742
O8 O 0.058 0.750 0.358
```

SG: P2_1/m (11)
Calculated density, g/cm³: 7.9
Uncorrected formation energy, eV/atom: -3.205
Total DFT energy (no corrections), eV per cell: -110.507


No. 8
Below is a relaxed Tb3BeO6 crystal, with properties calculated at the GGA-PBE level.

Structure (CIF):
```
data_Tb3BeO6
_chemical_formula_sum 'Tb6 Be2 O12'
_cell_length_a 5.071
_cell_length_b 7.214
_cell_length_c 7.214
_cell_angle_alpha 101.91
_cell_angle_beta 90.00
_cell_angle_gamma 90.00
_space_group_name_H-M_alt 'P 1'
_space_group_IT_number 1
loop_
_space_group_symop_operation_xyz
'x,y,z'
loop_
_atom_site_label
_atom_site_type_symbol
_atom_site_fract_x
_atom_site_fract_y
_atom_site_fract_z
Tb1 Tb 0.482 0.928 0.695
Tb2 Tb 0.982 0.695 0.928
Tb3 Tb 0.428 0.387 0.613
Tb4 Tb 0.928 0.613 0.387
Tb5 Tb 0.982 0.072 0.305
Tb6 Tb 0.482 0.305 0.072
Be1 Be 0.019 0.197 0.803
Be2 Be 0.519 0.803 0.197
O1 O 0.210 0.673 0.647
O2 O 0.710 0.647 0.673
O3 O 0.170 0.404 0.887
O4 O 0.670 0.887 0.404
O5 O 0.117 0.046 0.954
O6 O 0.697 0.215 0.785
O7 O 0.197 0.785 0.215
O8 O 0.617 0.954 0.046
O9 O 0.170 0.113 0.596
O10 O 0.670 0.596 0.113
O11 O 0.210 0.353 0.327
O12 O 0.710 0.327 0.353
```

SG: Cmc2_1 (36)
Calculated density, g/cm³: 7.5
Uncorrected formation energy, eV/atom: -3.109
Total DFT energy (no corrections), eV per cell: -156.908